(1)
CeBiAu: relaxed, PBE-GGA.

density of states at the Fermi level	4.2	states/eV per cell
ΔE_f	-0.614	eV/atom

Unit cell a=4.413 b=4.672 c=4.672 alpha=120.00 beta=90.00 gamma=90.00
Atoms (fractional coordinates):
1 Ce 0.617 0.333 0.667
2 Au 0.322 0.667 0.333
3 Bi 0.061 0.000 0.000



(2)
ErTmInCo: relaxed, PBE-GGA.

density of states at the Fermi level	2.9	states/eV per cell
polymorph energy (0 for the lowest one)	0	meV per atom
ΔE_f	-0.345	eV/atom

Unit cell a=3.325 b=3.325 c=7.941 alpha=90.00 beta=90.00 gamma=90.00
Atoms (fractional coordinates):
1 Tm 0.500 0.500 0.367
2 Co 0.000 0.000 0.569
3 In 0.000 0.000 0.072
4 Er 0.500 0.500 0.776



(3)
VZn2Mo: relaxed, PBE-GGA.

density of states at the Fermi level	5.9	states/eV per cell
polymorph energy (0 for the lowest one)	248	meV per atom
ΔE_f	0.528	eV/atom

Unit cell a=6.980 b=6.980 c=5.549 alpha=51.03 beta=51.03 gamma=90.00
Atoms (fractional coordinates):
1 Mo 0.750 0.250 0.500
2 Zn 0.131 0.625 0.250
3 Mo 0.000 0.000 0.000
4 V 0.500 0.500 0.000
5 V 0.250 0.750 0.500
6 Zn 0.875 0.869 0.750
7 Zn 0.375 0.381 0.750
8 Zn 0.619 0.125 0.250